Record 1
# BaY2Co, optimized geometry, DFT PBE-GGA
# Mass density   5.3 g/cm3
# Formation energy   14.91 kcal/mol of atoms
# Total moment   2.260 μB/cell
# Final energy   -77.48 eV/cell
# Distance to the lowest polymorph of the same formula   0.6292 eV per atom
data_BaY2Co
_cell_length_a 7.757
_cell_length_b 7.757
_cell_length_c 7.757
_cell_angle_alpha 90.00
_cell_angle_beta 90.00
_cell_angle_gamma 90.00
_symmetry_space_group_name_H-M 'F -4 3 m'
_symmetry_Int_Tables_number 216
_symmetry_space_group_name_Hall 'F -4 2 3'
loop_
_atom_site_label
_atom_site_type_symbol
_atom_site_fract_x
_atom_site_fract_y
_atom_site_fract_z
Ba1 Ba 0.000 0.000 0.000
Y1 Y 0.000 0.000 0.500
Y2 Y 0.250 0.250 0.750
Co1 Co 0.250 0.250 0.250


Record 2
# BaYCo2, optimized geometry, DFT PBE-GGA
# Mass density   6.4 g/cm3
# Formation energy   15.56 kcal/mol of atoms
# Total moment   3.095 μB/cell
# Final energy   -39.80 eV/cell
# Distance to the lowest polymorph of the same formula   0.6256 eV per atom
data_BaYCo2
_cell_length_a 4.089
_cell_length_b 4.089
_cell_length_c 10.660
_cell_angle_alpha 90.00
_cell_angle_beta 90.00
_cell_angle_gamma 90.00
_symmetry_space_group_name_H-M 'I -4 m 2'
_symmetry_Int_Tables_number 119
_symmetry_space_group_name_Hall 'I -4 -2'
loop_
_atom_site_label
_atom_site_type_symbol
_atom_site_fract_x
_atom_site_fract_y
_atom_site_fract_z
Ba1 Ba 0.000 0.000 0.000
Y1 Y 0.000 0.500 0.250
Co1 Co 0.000 0.000 0.500
Co2 Co 0.000 0.500 0.750


Record 3
# Ba2YCo, optimized geometry, DFT PBE-GGA
# Mass density   4.9 g/cm3
# Formation energy   11.54 kcal/mol of atoms
# Total moment   1.986 μB/cell
# Final energy   -15.41 eV/cell
# Distance to the lowest polymorph of the same formula   0.3323 eV per atom
data_Ba2YCo
_cell_length_a 3.802
_cell_length_b 3.802
_cell_length_c 9.928
_cell_angle_alpha 90.00
_cell_angle_beta 90.00
_cell_angle_gamma 90.00
_symmetry_space_group_name_H-M 'P 4/m m m'
_symmetry_Int_Tables_number 123
_symmetry_space_group_name_Hall '-P 4 2'
loop_
_atom_site_label
_atom_site_type_symbol
_atom_site_fract_x
_atom_site_fract_y
_atom_site_fract_z
Ba1 Ba 0.000 0.000 0.187
Y1 Y 0.500 0.500 0.500
Co1 Co 0.500 0.500 0.000


Record 4
# BaY2Co, optimized geometry, DFT PBE-GGA
# Mass density   4.8 g/cm3
# Formation energy   4.20 kcal/mol of atoms
# Total moment   0.000 μB/cell
# Final energy   -42.46 eV/cell
# Distance to the lowest polymorph of the same formula   0.1644 eV per atom
data_BaY2Co
_cell_length_a 3.574
_cell_length_b 3.752
_cell_length_c 19.433
_cell_angle_alpha 90.00
_cell_angle_beta 90.00
_cell_angle_gamma 90.00
_symmetry_space_group_name_H-M 'I m m 2'
_symmetry_Int_Tables_number 44
loop_
_symmetry_equiv_pos_as_xyz
'x,y,z'
'-x,-y,z'
'-x,y,z'
'x,-y,z'
'x+1/2,y+1/2,z+1/2'
'-x+1/2,-y+1/2,z+1/2'
'-x+1/2,y+1/2,z+1/2'
'x+1/2,-y+1/2,z+1/2'
loop_
_atom_site_label
_atom_site_type_symbol
_atom_site_fract_x
_atom_site_fract_y
_atom_site_fract_z
Ba1 Ba 0.000 0.000 0.000
Y1 Y 0.000 0.000 0.333
Y2 Y 0.000 0.500 0.177
Co1 Co 0.000 0.500 0.733


Record 5
# Ba2YCo2, optimized geometry, DFT PBE-GGA
# Mass density   5.6 g/cm3
# Formation energy   9.23 kcal/mol of atoms
# Total moment   2.530 μB/cell
# Final energy   -45.04 eV/cell
data_Ba2YCo2
_cell_length_a 7.494
_cell_length_b 7.494
_cell_length_c 5.111
_cell_angle_alpha 90.00
_cell_angle_beta 90.00
_cell_angle_gamma 90.00
_symmetry_space_group_name_H-M 'P 4/m b m'
_symmetry_Int_Tables_number 127
_symmetry_space_group_name_Hall '-P 4 2ab'
loop_
_atom_site_label
_atom_site_type_symbol
_atom_site_fract_x
_atom_site_fract_y
_atom_site_fract_z
Ba1 Ba 0.174 0.326 0.000
Y1 Y 0.000 0.000 0.500
Co1 Co 0.105 0.605 0.500


Record 6
# BaY2Co, optimized geometry, DFT PBE-GGA
# Mass density   5.5 g/cm3
# Formation energy   14.19 kcal/mol of atoms
# Total moment   1.367 μB/cell
# Final energy   -38.99 eV/cell
# Distance to the lowest polymorph of the same formula   0.5980 eV per atom
data_BaY2Co
_cell_length_a 4.625
_cell_length_b 4.625
_cell_length_c 10.644
_cell_angle_alpha 90.00
_cell_angle_beta 90.00
_cell_angle_gamma 90.00
_symmetry_space_group_name_H-M 'I -4 m 2'
_symmetry_Int_Tables_number 119
_symmetry_space_group_name_Hall 'I -4 -2'
loop_
_atom_site_label
_atom_site_type_symbol
_atom_site_fract_x
_atom_site_fract_y
_atom_site_fract_z
Ba1 Ba 0.000 0.000 0.000
Y1 Y 0.000 0.000 0.500
Y2 Y 0.000 0.500 0.250
Co1 Co 0.000 0.500 0.750